1.
{
  "formula": "Mn2AgCl",
  "functional": "GGA-PBE",
  "state": "optimized geometry",
  "volume_a3_per_atom": 17.33,
  "e_form_raw_mev_per_atom": 504,
  "sg": "Fm-3m, No. 225",
  "lattice": [[0.000, 3.261, 3.261], [3.261, 0.000, 3.261], [3.261, 3.261, 0.000]],
  "species": ["Mn", "Mn", "Ag", "Cl"],
  "frac_coords": [[0.250, 0.250, 0.250], [0.750, 0.750, 0.750], [0.500, 0.500, 0.500], [0.000, 0.000, 0.000]]
}

2.
{
  "formula": "BeCdP2",
  "functional": "GGA-PBE",
  "state": "optimized geometry",
  "volume_a3_per_atom": 16.39,
  "ef_ev_per_atom": 0.53,
  "sg": "Imm2, No. 44",
  "lattice": [[5.159, 0.005, 0.004], [1.825, 4.826, -0.004], [-2.764, -3.468, 2.637]],
  "species": ["P", "P", "Be", "Cd"],
  "frac_coords": [[0.944, 0.944, 0.000], [0.744, 0.244, 0.500], [0.546, 0.546, 0.000], [0.266, 0.766, 0.500]]
}

3.
{
  "formula": "Nd2ErTm3Sb6",
  "functional": "GGA-PBE",
  "state": "optimized geometry",
  "volume_a3_per_atom": 30.19,
  "e_form_raw_mev_per_atom": -1105,
  "sg": "C2/m, No. 12",
  "lattice": [[4.406, 0.000, 0.000], [0.000, 8.798, 0.322], [-2.203, -2.526, 9.254]],
  "species": ["Nd", "Nd", "Er", "Tm", "Tm", "Tm", "Sb", "Sb", "Sb", "Sb", "Sb", "Sb"],
  "frac_coords": [[0.834, 0.668, 0.669], [0.166, 0.332, 0.331], [0.500, 0.000, 0.000], [0.500, 0.500, 0.000], [0.832, 0.166, 0.664], [0.168, 0.834, 0.336], [0.334, 0.926, 0.668], [0.664, 0.590, 0.328], [0.666, 0.074, 0.332], [0.996, 0.249, 0.993], [0.004, 0.751, 0.007], [0.336, 0.410, 0.672]]
}